[1]
Computed, not measured: a relaxed structure of Na2ErI6 at the GGA-PBE level of DFT.

a b c (Å): 7.8858 8.5907 12.8506
angles (deg): 90.00 122.08 90.00
Closest atoms and distances in Å follow each position.
Sites, in units of the cell vectors:
Na: 0.1582 0.1466 0.1871  6 I 3.23-3.45
Na: 0.1582 0.3534 0.6871  6 I 3.23-3.45
Na: 0.8418 0.6466 0.3129  6 I 3.23-3.45
Na: 0.8418 0.8534 0.8129  6 I 3.23-3.45
Er: 0.5000 0.0000 0.0000  6 I 3.00-3.03
Er: 0.5000 0.5000 0.5000  6 I 3.00-3.03
I: 0.1131 0.1749 0.9117  1 Er 3.03, 2 Na 3.31-3.37
I: 0.1131 0.3251 0.4117  1 Er 3.03, 2 Na 3.31-3.37
I: 0.2805 0.6953 0.9481  1 Er 3.01, 1 Na 3.23
I: 0.2805 0.8047 0.4481  1 Er 3.01, 1 Na 3.23
I: 0.4291 0.0272 0.7472  1 Er 3.00, 2 Na 3.26-3.36
I: 0.4291 0.4728 0.2472  1 Er 3.00, 2 Na 3.26-3.36
I: 0.5709 0.5272 0.7528  1 Er 3.00, 2 Na 3.26-3.36
I: 0.5709 0.9728 0.2528  1 Er 3.00, 2 Na 3.26-3.36
I: 0.7195 0.1953 0.5519  1 Er 3.01, 1 Na 3.23
I: 0.7195 0.3047 0.0519  1 Er 3.01, 1 Na 3.23
I: 0.8869 0.6749 0.5883  1 Er 3.03, 2 Na 3.31-3.37
I: 0.8869 0.8251 0.0883  1 Er 3.03, 2 Na 3.31-3.37

Computed properties:
formation energy without anion corrections	-1.076	eV per atom
total magnetization	1.27	μB per cell
total DFT energy (no corrections)	-26.2	eV/f.u.
symmetry	P2_1/c, No. 14

***

[2]
Computed, not measured: a relaxed structure of YCoOs3 at the GGA-PBE level of DFT.

a b c (Å): 4.5038 4.5038 4.5038
angles (deg): 90.00 90.00 90.00
Closest atoms and distances in Å follow each position.
Sites, in units of the cell vectors:
Y: 0.0000 0.0000 0.0000  12 Os 3.18
Co: 0.5000 0.5000 0.5000  6 Os 2.25
Os: 0.0000 0.5000 0.5000  2 Co 2.25
Os: 0.5000 0.0000 0.5000  2 Co 2.25
Os: 0.5000 0.5000 0.0000  2 Co 2.25

Computed properties:
ΔE_f	1039	meV per atom
total magnetization	2.37	μB per cell
total DFT energy (no corrections)	-42.1	eV/f.u.
symmetry	Pm-3m, No. 221
energy above the lowest structure with this stoichiometry	0.000	eV/atom

***

[3]
Computed, not measured: a relaxed structure of LiNi4Mo at the GGA-PBE level of DFT.

a b c (Å): 4.6810 4.6810 4.6810
angles (deg): 60.00 60.00 60.00
Closest atoms and distances in Å follow each position.
Sites, in units of the cell vectors:
Li: 0.0000 0.0000 0.0000  12 Ni 2.74, 4 Mo 2.87
Ni: 0.3748 0.3748 0.3748  6 Ni 2.34
Ni: 0.3748 0.3748 0.8757  6 Ni 2.34
Ni: 0.3748 0.8757 0.3748  6 Ni 2.34
Ni: 0.8757 0.3748 0.3748  6 Ni 2.34
Mo: 0.7500 0.7500 0.7500  12 Ni 2.74, 4 Li 2.87

Computed properties:
ΔE_f	63	meV per atom
total magnetization	0.00	μB per cell
total DFT energy (no corrections)	-35.5	eV/f.u.
symmetry	F-43m, No. 216
energy above the lowest structure with this stoichiometry	0.044	eV/atom

***

[4]
Computed, not measured: a relaxed structure of TiSn3C at the GGA-PBE level of DFT.

a b c (Å): 5.2913 5.2913 5.2913
angles (deg): 90.00 90.00 90.00
Closest atoms and distances in Å follow each position.
Sites, in units of the cell vectors:
Ti: 0.0000 0.0000 0.0000  6 Sn 2.65
Sn: 0.0000 0.0000 0.5000  2 Ti 2.65
Sn: 0.0000 0.5000 0.0000  2 Ti 2.65
Sn: 0.5000 0.0000 0.0000  2 Ti 2.65
C: 0.5000 0.5000 0.5000  12 Sn 3.74

Computed properties:
ΔE_f	1521	meV per atom
total magnetization	1.56	μB per cell
total DFT energy (no corrections)	-21.5	eV/f.u.
symmetry	Pm-3m, No. 221
energy above the lowest structure with this stoichiometry	0.561	eV/atom

***

[5]
Computed, not measured: a relaxed structure of CoPb at the GGA-PBE level of DFT.

a b c (Å): 5.3134 5.3134 5.3283
angles (deg): 90.00 90.00 90.00
Closest atoms and distances in Å follow each position.
Sites, in units of the cell vectors:
Co: 0.2143 0.2143 0.0000  6 Pb 2.64-2.71
Co: 0.2857 0.7143 0.5000  6 Pb 2.64-2.71
Co: 0.7143 0.2857 0.5000  6 Pb 2.64-2.71
Co: 0.7857 0.7857 0.0000  6 Pb 2.64-2.71
Pb: 0.2212 0.2212 0.5000  6 Co 2.64-2.71
Pb: 0.2788 0.7212 0.0000  6 Co 2.64-2.71
Pb: 0.7212 0.2788 0.0000  6 Co 2.64-2.71
Pb: 0.7788 0.7788 0.5000  6 Co 2.64-2.71

Computed properties:
ΔE_f	670	meV per atom
total magnetization	0.00	μB per cell
total DFT energy (no corrections)	-9.5	eV/f.u.
symmetry	P4_2/mnm, No. 136

***

[6]
Computed, not measured: a relaxed structure of K4H2S at the GGA-PBE level of DFT.

a b c (Å): 8.0263 8.0263 8.0263
angles (deg): 108.48 108.48 111.47
Closest atoms and distances in Å follow each position.
Sites, in units of the cell vectors:
K: 0.0018 0.8200 0.1793  3 H 2.82-2.94, 1 S 3.07
K: 0.1093 0.4300 0.6818  3 H 2.82-2.94, 1 S 3.07
K: 0.1775 0.9982 0.8182  3 H 2.82-2.94, 1 S 3.07
K: 0.1800 0.3593 0.1818  3 H 2.82-2.94, 1 S 3.07
K: 0.5700 0.2518 0.6793  3 H 2.82-2.94, 1 S 3.07
K: 0.5725 0.8907 0.3207  3 H 2.82-2.94, 1 S 3.07
K: 0.6407 0.8225 0.8207  3 H 2.82-2.94, 1 S 3.07
K: 0.7482 0.4275 0.3182  3 H 2.82-2.94, 1 S 3.07
H: 0.3750 0.1241 0.2491  6 K 2.82-2.94
H: 0.8741 0.6250 0.7491  6 K 2.82-2.94
H: 0.8750 0.1259 0.7509  6 K 2.82-2.94
H: 0.8759 0.1250 0.2509  6 K 2.82-2.94
S: 0.2500 0.7500 0.5000  8 K 3.07-3.36
S: 0.5000 0.5000 0.0000  8 K 3.07-3.36

Computed properties:
total magnetization	0.21	μB per cell
total DFT energy (no corrections)	-19.0	eV/f.u.
symmetry	I-42d, No. 122

***

[7]
Computed, not measured: a relaxed structure of Ce4MgPb2 at the GGA-PBE level of DFT.

a b c (Å): 6.0834 6.0834 12.1054
angles (deg): 90.00 90.00 90.00
Closest atoms and distances in Å follow each position.
Sites, in units of the cell vectors:
Ce: 0.0000 0.5000 0.0000  2 Ce 3.03, 2 Mg 3.04
Ce: 0.0000 0.5000 0.2500  2 Ce 3.03, 4 Pb 3.36
Ce: 0.0000 0.5000 0.5000  2 Ce 3.03, 2 Mg 3.04
Ce: 0.0000 0.5000 0.7500  2 Ce 3.03, 4 Pb 3.36
Ce: 0.5000 0.0000 0.0000  2 Ce 3.03, 2 Mg 3.04
Ce: 0.5000 0.0000 0.2500  2 Ce 3.03, 4 Pb 3.36
Ce: 0.5000 0.0000 0.5000  2 Ce 3.03, 2 Mg 3.04
Ce: 0.5000 0.0000 0.7500  2 Ce 3.03, 4 Pb 3.36
Mg: 0.0000 0.0000 0.0000  4 Ce 3.04
Mg: 0.5000 0.5000 0.5000  4 Ce 3.04
Pb: 0.0000 0.0000 0.3674  1 Pb 3.21, 8 Ce 3.36-3.44
Pb: 0.0000 0.0000 0.6325  1 Pb 3.21, 8 Ce 3.36-3.44
Pb: 0.5000 0.5000 0.1326  1 Pb 3.21, 8 Ce 3.36-3.44
Pb: 0.5000 0.5000 0.8674  1 Pb 3.21, 8 Ce 3.36-3.44

Computed properties:
ΔE_f	128	meV per atom
total magnetization	14.11	μB per cell
total DFT energy (no corrections)	-31.9	eV/f.u.
symmetry	I4/mmm, No. 139

***

[8]
Computed, not measured: a relaxed structure of MnIn2Re at the GGA-PBE level of DFT.

a b c (Å): 5.9100 8.1714 2.9252
angles (deg): 90.00 90.00 90.00
Closest atoms and distances in Å follow each position.
Sites, in units of the cell vectors:
Mn: 0.0000 0.0000 0.0000  8 In 2.91, 2 Mn 2.93, 2 Re 2.95
Mn: 0.5000 0.5000 0.0000  8 In 2.91, 2 Mn 2.93, 2 Re 2.95
In: 0.2500 0.2500 0.5000  4 Re 2.91, 4 Mn 2.91, 4 In 2.93-2.95
In: 0.2500 0.7500 0.5000  4 Re 2.91, 4 Mn 2.91, 4 In 2.93-2.95
In: 0.7500 0.2500 0.5000  4 Re 2.91, 4 Mn 2.91, 4 In 2.93-2.95
In: 0.7500 0.7500 0.5000  4 Mn 2.91, 4 Re 2.91, 4 In 2.93-2.95
Re: 0.0000 0.5000 0.0000  8 In 2.91, 2 Re 2.93, 2 Mn 2.95
Re: 0.5000 0.0000 0.0000  8 In 2.91, 2 Re 2.93, 2 Mn 2.95

Computed properties:
ΔE_f	488	meV per atom
total magnetization	7.12	μB per cell
total DFT energy (no corrections)	-25.1	eV/f.u.
symmetry	Cmmm, No. 65
energy above the lowest structure with this stoichiometry	0.223	eV/atom

***

[9]
Computed, not measured: a relaxed structure of Mn4TlIr at the GGA-PBE level of DFT.

a b c (Å): 4.8791 4.8791 4.8791
angles (deg): 60.00 60.00 60.00
Closest atoms and distances in Å follow each position.
Sites, in units of the cell vectors:
Mn: 0.1254 0.1254 0.1254  6 Mn 2.43-2.45
Mn: 0.1254 0.1254 0.6239  6 Mn 2.43-2.45
Mn: 0.1254 0.6239 0.1254  6 Mn 2.43-2.45
Mn: 0.6239 0.1254 0.1254  6 Mn 2.43-2.45
Tl: 0.7500 0.7500 0.7500  12 Mn 2.86, 4 Ir 2.99
Ir: 0.5000 0.5000 0.5000  12 Mn 2.86, 4 Tl 2.99

Computed properties:
ΔE_f	402	meV per atom
total magnetization	7.49	μB per cell
total DFT energy (no corrections)	-45.5	eV/f.u.
symmetry	F-43m, No. 216

***

[10]
Computed, not measured: a relaxed structure of LiGeO2 at the GGA-PBE level of DFT.

a b c (Å): 3.1301 3.1301 16.6562
angles (deg): 90.00 90.00 120.00
Closest atoms and distances in Å follow each position.
Sites, in units of the cell vectors:
Li: 0.0000 0.0000 0.0000  6 O 2.10
Li: 0.3333 0.6667 0.6667  6 O 2.10
Li: 0.6667 0.3333 0.3333  6 O 2.10
Ge: 0.0000 0.0000 0.5000  2 O 1.70
Ge: 0.3333 0.6667 0.1667  2 O 1.70
Ge: 0.6667 0.3333 0.8333  2 O 1.70
O: 0.0000 0.0000 0.3979  1 Ge 1.70
O: 0.0000 0.0000 0.6021  1 Ge 1.70
O: 0.3333 0.6667 0.0646  1 Ge 1.70
O: 0.3333 0.6667 0.2688  1 Ge 1.70
O: 0.6667 0.3333 0.7312  1 Ge 1.70
O: 0.6667 0.3333 0.9354  1 Ge 1.70

Computed properties:
formation energy without anion corrections	-1.081	eV per atom
total magnetization	0.00	μB per cell
total DFT energy (no corrections)	-20.8	eV/f.u.
symmetry	R-3m, No. 166

***

[11]
Computed, not measured: a relaxed structure of Tb3Ga2Ni3 at the GGA-PBE level of DFT.

a b c (Å): 7.3760 14.7915 5.6252
angles (deg): 90.00 90.00 90.00
Closest atoms and distances in Å follow each position.
Sites, in units of the cell vectors:
Tb: 0.0300 0.1047 0.1524  6 Ni 2.83-3.12, 3 Ga 3.00-3.06
Tb: 0.0300 0.3953 0.1524  6 Ni 2.83-3.12, 3 Ga 3.00-3.06
Tb: 0.1686 0.2500 0.6118  5 Ni 2.85-3.18, 4 Ga 3.00-3.08
Tb: 0.3314 0.7500 0.1118  5 Ni 2.85-3.18, 4 Ga 3.00-3.08
Tb: 0.4700 0.6047 0.6524  6 Ni 2.83-3.12, 3 Ga 3.00-3.06
Tb: 0.4700 0.8953 0.6524  6 Ni 2.83-3.12, 3 Ga 3.00-3.06
Tb: 0.5300 0.1047 0.3476  6 Ni 2.83-3.12, 3 Ga 3.00-3.06
Tb: 0.5300 0.3953 0.3476  6 Ni 2.83-3.12, 3 Ga 3.00-3.06
Tb: 0.6686 0.2500 0.8882  5 Ni 2.85-3.18, 4 Ga 3.00-3.08
Tb: 0.8314 0.7500 0.3882  5 Ni 2.85-3.18, 4 Ga 3.00-3.08
Tb: 0.9700 0.6047 0.8476  6 Ni 2.83-3.12, 3 Ga 3.00-3.06
Tb: 0.9700 0.8953 0.8476  6 Ni 2.83-3.12, 3 Ga 3.00-3.06
Ga: 0.1239 0.6022 0.3536  4 Ni 2.36-2.61
Ga: 0.1239 0.8978 0.3536  4 Ni 2.36-2.61
Ga: 0.3761 0.1022 0.8536  4 Ni 2.36-2.61
Ga: 0.3761 0.3978 0.8536  4 Ni 2.36-2.61
Ga: 0.6239 0.6022 0.1464  4 Ni 2.36-2.61
Ga: 0.6239 0.8978 0.1464  4 Ni 2.36-2.61
Ga: 0.8761 0.1022 0.6464  4 Ni 2.36-2.61
Ga: 0.8761 0.3978 0.6464  4 Ni 2.36-2.61
Ni: 0.1722 0.0352 0.5815  3 Ga 2.36-2.43
Ni: 0.1722 0.4648 0.5815  3 Ga 2.36-2.43
Ni: 0.1847 0.7500 0.5927  2 Ga 2.61, 2 Tb 2.85-2.91
Ni: 0.3153 0.2500 0.0927  2 Ga 2.61, 2 Tb 2.85-2.91
Ni: 0.3278 0.5352 0.0815  3 Ga 2.36-2.43
Ni: 0.3278 0.9648 0.0815  3 Ga 2.36-2.43
Ni: 0.6722 0.0352 0.9185  3 Ga 2.36-2.43
Ni: 0.6722 0.4648 0.9185  3 Ga 2.36-2.43
Ni: 0.6847 0.7500 0.9073  2 Ga 2.61, 2 Tb 2.85-2.91
Ni: 0.8153 0.2500 0.4073  2 Ga 2.61, 2 Tb 2.85-2.91
Ni: 0.8278 0.5352 0.4185  3 Ga 2.36-2.43
Ni: 0.8278 0.9648 0.4185  3 Ga 2.36-2.43

Computed properties:
ΔE_f	-555	meV per atom
total magnetization	0.00	μB per cell
total DFT energy (no corrections)	-41.7	eV/f.u.
symmetry	Pnma, No. 62
energy above the lowest structure with this stoichiometry	0.000	eV/atom

***

[12]
Computed, not measured: a relaxed structure of AcNdCdNi at the GGA-PBE level of DFT.

a b c (Å): 7.6088 7.6088 7.6088
angles (deg): 90.00 90.00 90.00
Closest atoms and distances in Å follow each position.
Sites, in units of the cell vectors:
Ac: 0.0000 0.0000 0.0000  4 Cd 3.29, 4 Ni 3.29
Ac: 0.0000 0.5000 0.5000  4 Cd 3.29, 4 Ni 3.29
Ac: 0.5000 0.0000 0.5000  4 Cd 3.29, 4 Ni 3.29
Ac: 0.5000 0.5000 0.0000  4 Cd 3.29, 4 Ni 3.29
Nd: 0.0000 0.0000 0.5000  4 Ni 3.29, 4 Cd 3.29
Nd: 0.0000 0.5000 0.0000  4 Ni 3.29, 4 Cd 3.29
Nd: 0.5000 0.0000 0.0000  4 Ni 3.29, 4 Cd 3.29
Nd: 0.5000 0.5000 0.5000  4 Ni 3.29, 4 Cd 3.29
Cd: 0.2500 0.2500 0.2500  4 Ac 3.29, 4 Nd 3.29
Cd: 0.2500 0.7500 0.7500  4 Ac 3.29, 4 Nd 3.29
Cd: 0.7500 0.2500 0.7500  4 Ac 3.29, 4 Nd 3.29
Cd: 0.7500 0.7500 0.2500  4 Ac 3.29, 4 Nd 3.29
Ni: 0.2500 0.2500 0.7500  4 Ac 3.29, 4 Nd 3.29
Ni: 0.2500 0.7500 0.2500  4 Ac 3.29, 4 Nd 3.29
Ni: 0.7500 0.2500 0.2500  4 Ac 3.29, 4 Nd 3.29
Ni: 0.7500 0.7500 0.7500  4 Nd 3.29, 4 Ac 3.29

Computed properties:
ΔE_f	-129	meV per atom
total magnetization	0.00	μB per cell
total DFT energy (no corrections)	-16.1	eV/f.u.
symmetry	F-43m, No. 216